Compound: Er3Th2Tc2
Source: Alexandria
Functional: PBE
Structure: optimized geometry

Computed properties:
Calculated density   10.41 g/cm³
Raw total energy   -7.168 eV per atom

```
7
Lattice="-1.582 -1.124 3.431 3.988 -4.478 -1.893 5.203 6.408 2.226" Properties=species:S:1:pos:R:3 pbc="T T T"
Er 5.984 -0.209 0.423
Er 1.625 1.015 3.341
Tc 4.400 -2.412 -1.029
Er -0.791 -0.562 1.716
Th 5.086 2.264 3.080
Th 2.523 -1.458 0.685
Tc 3.209 3.218 4.793
```

=====

Compound: ErTh2Tc
Source: Alexandria
Functional: PBE
Structure: optimized geometry

Computed properties:
E above lowest polymorph   0 meV/atom
Calculated density   10.87 g/cm³
Raw total energy   -7.568 eV per atom

```
16
Lattice="-1.624 -5.957 1.100 4.908 -2.245 -4.916 6.748 -0.550 6.987" Properties=species:S:1:pos:R:3 pbc="T T T"
Er 0.499 -5.320 2.487
Th 6.782 -6.155 0.587
Th 4.064 -6.002 3.224
Tc 4.668 -4.187 5.324
Th 3.438 -2.544 -2.673
Tc 6.603 -7.213 3.217
Th 6.594 -6.208 5.844
Er 9.534 -3.432 0.684
Th 9.312 -6.361 3.207
Th 5.968 -2.750 -0.053
Tc 5.364 -4.565 -2.153
Tc 3.429 -1.539 -0.046
Er 6.740 -3.556 3.372
Er 3.292 -5.196 -0.201
Th 3.250 -2.597 2.584
Th 0.720 -2.391 -0.036
```